A plane-wave DFT calculation with PBE was carried out for an optimized crystal structure of LuGePb.

Structure (extended XYZ):
```
6
Lattice="-4.763 5.319 3.386 0.594 -7.264 -3.055 1.118 -1.680 4.212" Properties=species:S:1:pos:R:3 pbc="T T T"
Ge -3.770 3.222 3.581
Ge 0.719 -6.847 0.963
Lu -0.450 -4.576 -0.411
Lu -2.601 0.951 4.955
Pb -2.229 -0.396 1.729
Pb -0.822 -3.229 2.815
```

Calculated values
ΔE to the lowest computed polymorph: 0.0000 eV per atom
total moment: 0.1 μB/f.u.

***

A plane-wave DFT calculation with PBE was carried out for an optimized crystal structure of GaAgSe2.

Structure (extended XYZ):
```
8
Lattice="5.081 -3.817 3.032 5.578 4.287 0.281 -6.589 1.151 2.199" Properties=species:S:1:pos:R:3 pbc="T T T"
Ag 5.330 0.235 1.657
Ag 1.911 -1.216 3.444
Ga 0.000 0.000 0.000
Ga 2.159 2.837 2.068
Se 6.494 -1.812 2.920
Se -1.935 0.467 1.438
Se 3.334 1.036 3.244
Se 0.246 3.551 3.423
```

Calculated values
E: -3.67 eV per atom

***

A plane-wave DFT calculation with PBE was carried out for an optimized crystal structure of Cu5Ag4.

Structure (extended XYZ):
```
9
Lattice="-3.311 2.668 2.121 -4.623 1.061 0.277 2.670 -9.118 6.045" Properties=species:S:1:pos:R:3 pbc="T T T"
Ag -1.941 -0.019 1.398
Ag 0.018 -1.911 1.652
Ag -5.282 -3.479 6.791
Ag -3.323 -5.370 7.045
Cu -3.967 1.864 1.199
Cu -5.889 -0.006 4.197
Cu -3.702 -1.860 4.256
Cu -1.562 -3.529 4.187
Cu 0.626 -5.384 4.246
```

Calculated values
ΔE to the lowest computed polymorph: 0.0473 eV per atom

***

A plane-wave DFT calculation with PBE was carried out for an optimized crystal structure of Pu2P.

Structure (extended XYZ):
```
6
Lattice="5.140 6.215 3.308 8.580 -1.365 0.718 5.544 4.287 -5.184" Properties=species:S:1:pos:R:3 pbc="T T T"
P 4.816 2.284 -0.290
P 9.632 4.569 -0.579
Pu 7.224 3.427 -0.434
Pu 9.794 6.534 1.220
Pu 11.514 2.744 -0.075
Pu 9.996 5.570 -3.026
```

Calculated values
total moment: 12.1 μB/f.u.
E: -10.48 eV per atom

***

A plane-wave DFT calculation with PBE was carried out for an optimized crystal structure of NdFeSi2Pd.

Structure (extended XYZ):
```
5
Lattice="-2.078 2.078 4.921 2.078 -2.078 4.921 2.078 2.078 -4.921" Properties=species:S:1:pos:R:3 pbc="T T T"
Fe 2.078 0.000 2.461
Nd 0.000 0.000 0.000
Pd 0.000 2.078 2.461
Si 0.000 0.000 3.683
Si 0.000 0.000 6.159
```

Calculated values
total moment: 1.6 μB/f.u.
E: -6.55 eV per atom

***

A plane-wave DFT calculation with PBE was carried out for an optimized crystal structure of CdCoSbMo.

Structure (extended XYZ):
```
4
Lattice="-2.689 1.667 3.268 -3.724 2.365 -1.106 -4.122 -1.795 0.689" Properties=species:S:1:pos:R:3 pbc="T T T"
Cd -5.268 1.119 1.425
Co -7.901 1.679 2.138
Mo -2.634 0.560 0.713
Sb 0.000 0.000 0.000
```

Calculated values
ΔE to the lowest computed polymorph: 0.0000 eV per atom
total moment: 0.6 μB/f.u.

***

A plane-wave DFT calculation with PBE was carried out for an optimized crystal structure of Tb2ScO4.

Structure (extended XYZ):
```
14
Lattice="4.679 -4.680 0.000 -4.679 0.000 -4.680 4.679 4.680 0.000" Properties=species:S:1:pos:R:3 pbc="T T T"
O 1.163 1.164 -1.164
O 3.503 -1.176 -1.176
O -1.176 1.176 -3.504
O 1.176 -1.176 -3.504
O 1.163 3.516 -3.516
O 3.516 3.516 -1.164
O 3.516 1.164 -3.516
O 5.856 1.176 -1.176
Sc 0.000 0.000 0.000
Sc 2.340 -2.340 -2.340
Tb -1.170 -1.170 -3.510
Tb 1.170 1.170 -3.510
Tb 3.510 1.170 -1.170
Tb 5.849 -1.170 -1.170
```

Calculated values
total moment: 0.0 μB/f.u.
E: -8.27 eV per atom

***

A plane-wave DFT calculation with PBE was carried out for an optimized crystal structure of LaNiGe.

Structure (extended XYZ):
```
3
Lattice="-2.035 -3.261 1.613 3.723 -0.546 -1.793 1.918 0.671 3.778" Properties=species:S:1:pos:R:3 pbc="T T T"
Ge 1.804 -1.451 -0.658
La 0.843 -2.020 2.366
Ni 0.000 0.000 0.000
```

Calculated values
total moment: 0.0 μB/f.u.
E: -5.76 eV per atom

***

A plane-wave DFT calculation with PBE was carried out for an optimized crystal structure of Sm2Ho2CBr3Cl2.

Structure (extended XYZ):
```
10
Lattice="8.637 -1.918 0.000 8.637 1.918 0.000 -1.892 0.000 8.114" Properties=species:S:1:pos:R:3 pbc="T T T"
Br 2.334 0.000 2.688
Br 7.691 0.000 4.057
Br 13.049 0.000 5.426
C 8.637 0.000 0.000
Cl 14.008 0.000 1.125
Cl 1.375 0.000 6.988
Ho 10.944 0.000 0.596
Ho 4.439 0.000 7.518
Sm 16.840 0.000 1.649
Sm -1.457 0.000 6.464
```

Calculated values
ΔE to the lowest computed polymorph: 0.0009 eV per atom
total moment: 0.1 μB/f.u.

***

A plane-wave DFT calculation with PBE was carried out for an optimized crystal structure of HoEr2Mg3Pt2Au.

Structure (extended XYZ):
```
9
Lattice="-1.063 3.606 1.466 -5.753 0.200 -4.665 -0.795 -2.974 6.740" Properties=species:S:1:pos:R:3 pbc="T T T"
Au -6.545 -2.773 2.074
Er -3.357 0.117 -2.722
Er -0.464 -1.735 3.933
Ho -2.728 -1.155 0.864
Mg -6.483 1.256 -2.239
Mg -5.435 -0.274 2.287
Mg -2.771 -1.120 6.300
Pt -4.633 0.946 -0.133
Pt -2.979 -0.114 3.674
```

Calculated values
total moment: 0.0 μB/f.u.
E: -4.62 eV per atom

***

A plane-wave DFT calculation with PBE was carried out for an optimized crystal structure of Ta4Co4Si7.

Structure (extended XYZ):
```
30
Lattice="0.000 0.000 4.970 6.260 -6.260 2.485 6.260 6.260 -2.485" Properties=species:S:1:pos:R:3 pbc="T T T"
Co 4.396 -1.864 1.242
Co 4.396 -1.864 3.727
Co 4.396 1.864 1.242
Co 4.396 1.864 3.727
Co 8.124 -1.864 1.242
Co 8.124 -1.864 3.727
Co 8.124 1.864 1.242
Co 8.124 1.864 3.727
Si 0.000 0.000 1.239
Si 0.000 0.000 3.731
Si 2.613 -2.613 2.485
Si 3.647 -3.647 4.970
Si 3.725 0.000 0.000
Si 6.260 -2.535 2.485
Si 5.080 0.000 2.485
Si 6.260 -1.180 4.970
Si 2.613 2.613 2.485
Si 3.647 3.647 0.000
Si 6.260 1.180 0.000
Si 7.440 0.000 2.485
Si 8.795 0.000 0.000
Si 6.260 2.535 2.485
Ta 1.672 -1.672 4.970
Ta 4.588 -4.588 2.485
Ta 2.379 0.000 2.485
Ta 6.260 -3.881 4.970
Ta 1.672 1.672 0.000
Ta 4.588 4.588 2.485
Ta 10.141 0.000 2.485
Ta 6.260 3.881 0.000
```

Calculated values
total moment: 0.0 μB/f.u.
E: -8.22 eV per atom

***

A plane-wave DFT calculation with PBE was carried out for an optimized crystal structure of Nd3Se2N.

Structure (extended XYZ):
```
6
Lattice="-3.563 1.110 1.194 2.001 -2.684 2.036 4.291 7.573 5.764" Properties=species:S:1:pos:R:3 pbc="T T T"
N 2.146 3.786 2.882
Nd 0.000 0.000 0.000
Nd 1.740 1.394 3.897
Nd 0.988 4.605 5.097
Se -0.928 1.223 2.523
Se 3.657 4.776 6.472
```

Calculated values
total moment: 0.0 μB/f.u.
E: -6.58 eV per atom

***

A plane-wave DFT calculation with PBE was carried out for an optimized crystal structure of Li4Sn2IrPt.

Structure (extended XYZ):
```
8
Lattice="4.452 0.000 0.000 0.000 4.452 0.000 0.000 0.000 6.289" Properties=species:S:1:pos:R:3 pbc="T T T"
Ir 0.000 0.000 3.144
Li 0.000 0.000 0.000
Li 0.000 2.226 1.569
Li 2.226 2.226 3.144
Li 2.226 0.000 4.720
Pt 2.226 2.226 0.000
Sn 2.226 0.000 1.618
Sn 0.000 2.226 4.671
```

Calculated values
total moment: 0.0 μB/f.u.
E: -4.35 eV per atom

***

A plane-wave DFT calculation with PBE was carried out for an optimized crystal structure of CoTcAgB.

Structure (extended XYZ):
```
4
Lattice="0.000 2.920 2.920 2.920 0.000 2.920 2.920 2.920 0.000" Properties=species:S:1:pos:R:3 pbc="T T T"
Ag 2.920 2.920 2.920
B 0.000 0.000 0.000
Co 4.381 4.381 4.381
Tc 1.460 1.460 1.460
```

Calculated values
ΔE to the lowest computed polymorph: 0.0000 eV per atom
total moment: 1.4 μB/f.u.

***

A plane-wave DFT calculation with PBE was carried out for an optimized crystal structure of Tb3Br2.

Structure (extended XYZ):
```
10
Lattice="0.037 5.216 4.791 1.800 1.348 -6.716 -6.746 2.605 2.450" Properties=species:S:1:pos:R:3 pbc="T T T"
Br 0.616 3.928 0.953
Br -3.034 5.872 4.100
Br -1.876 3.297 -3.575
Br -5.525 5.241 -0.429
Tb -0.315 4.765 -1.575
Tb -1.507 2.083 1.174
Tb -0.924 5.919 2.228
Tb -3.986 3.250 -1.703
Tb -3.403 7.086 -0.649
Tb -4.595 4.404 2.100
```

Calculated values
total moment: 0.0 μB/f.u.
E: -4.10 eV per atom

***

A plane-wave DFT calculation with PBE was carried out for an optimized crystal structure of KCuSnSe3.

Structure (extended XYZ):
```
24
Lattice="-4.362 6.949 -7.910 0.686 -2.910 -2.935 -11.679 -4.904 2.132" Properties=species:S:1:pos:R:3 pbc="T T T"
Cu -5.804 2.831 -7.155
Cu -4.335 0.657 -1.665
Cu -11.363 -0.067 -5.581
Cu -9.894 -2.241 -0.091
K -1.884 -0.752 0.306
K -5.832 0.381 -4.732
K -9.866 0.209 -2.514
K -13.814 1.342 -7.551
Se -3.727 3.831 -7.660
Se -3.526 2.720 -3.521
Se -2.937 -0.819 -2.865
Se -6.741 3.573 -5.119
Se -8.325 3.496 -8.403
Se -6.538 -0.141 -1.389
Se -9.160 0.731 -5.857
Se -7.373 -2.906 1.158
Se -8.957 -2.984 -2.126
Se -12.761 1.408 -4.380
Se -12.172 -2.130 -3.724
Se -11.971 -3.241 0.415
Sn -1.378 0.866 -4.172
Sn -9.324 3.519 -5.670
Sn -6.374 -2.930 -1.576
Sn -14.320 -0.277 -3.074
```

Calculated values
ΔE to the lowest computed polymorph: 0.0248 eV per atom